Arrangement P

BaCd3Ag, relaxed, DFT PBE; space group = Pm-3m; crystal system = cubic; calculated volume = 294 Å³ per cell
1.0
6.652 0.000 0.000
0.000 6.652 0.000
0.000 0.000 6.652
Ba Cd Ag
1 3 1
direct
0.000 0.000 0.000
0.000 0.000 0.500
0.000 0.500 0.000
0.500 0.000 0.000
0.500 0.500 0.500

---

Arrangement Q

BaCd3Ag, relaxed, DFT PBE; space group = Pm-3m; crystal system = cubic; calculated volume = 155 Å³ per cell
1.0
5.367 0.000 0.000
0.000 5.367 0.000
0.000 0.000 5.367
Ba Cd Ag
1 3 1
direct
0.000 0.000 0.000
0.000 0.500 0.500
0.500 0.000 0.500
0.500 0.500 0.000
0.500 0.500 0.500

---

arrangement Q wins, 0.871 eV/atom ahead of the next structure.

---

Arrangement P

BaCd6Ag2, relaxed, DFT PBE; space group = Fd-3m; crystal system = cubic; calculated volume = 567 Å³ per cell
1.0
0.000 6.569 6.569
6.569 0.000 6.569
6.569 6.569 0.000
Ba Cd Ag
2 12 4
direct
0.125 0.125 0.125
0.875 0.875 0.875
0.139 0.139 0.611
0.139 0.611 0.139
0.139 0.611 0.611
0.389 0.389 0.861
0.389 0.861 0.389
0.389 0.861 0.861
0.611 0.139 0.139
0.611 0.139 0.611
0.611 0.611 0.139
0.861 0.389 0.389
0.861 0.389 0.861
0.861 0.861 0.389
0.000 0.500 0.500
0.500 0.000 0.500
0.500 0.500 0.000
0.500 0.500 0.500

---

Arrangement Q

BaCd6Ag2, relaxed, DFT PBE; space group = P4/mmm; crystal system = tetragonal; calculated volume = 225 Å³ per cell
1.0
4.631 0.000 0.000
0.000 4.631 0.000
0.000 0.000 10.510
Ba Cd Ag
1 6 2
direct
0.000 0.000 0.000
0.000 0.000 0.500
0.000 0.500 0.295
0.000 0.500 0.705
0.500 0.000 0.295
0.500 0.000 0.705
0.500 0.500 0.500
0.500 0.500 0.133
0.500 0.500 0.867

---

arrangement Q wins, 0.279 eV/atom ahead of the next structure.